Entry 1:
PmHo3Ru: optimized geometry, PBE.

## Properties
**Fermi-level density of states**: 11.434 states/eV per cell
**Relative energy among the computed polymorphs**: 0.000 eV per atom
**Final energy**: -57.0 eV per cell

Structure (POSCAR):
```
PmHo3Ru
1.0
-6.039 0.060 -1.464
0.118 -6.349 -0.752
-1.792 -0.905 7.355
Pm Ho Ru
2 6 2
direct
0.432 0.328 0.701
0.932 0.025 0.201
0.420 0.335 0.201
0.426 0.853 0.952
0.926 0.500 0.452
0.920 0.017 0.701
0.926 0.500 0.950
0.426 0.853 0.450
0.175 0.680 0.701
0.675 0.673 0.201
```


Entry 2:
Th3H4N3: optimized geometry, PBE.

## Properties
**Fermi-level density of states**: 16.998 states/eV per cell
**Final energy**: -137.0 eV per cell

Structure (POSCAR):
```
Th3H4N3
1.0
6.656 0.000 -2.353
-3.328 5.764 -2.353
0.000 0.000 7.059
Th H N
6 8 6
direct
0.125 0.750 0.375
0.375 0.250 0.125
0.625 0.875 0.250
0.875 0.625 0.750
0.250 0.375 0.625
0.750 0.125 0.875
0.000 0.000 0.339
0.500 0.339 0.500
0.661 0.161 0.161
0.000 0.000 0.839
0.839 0.500 0.000
0.500 0.839 0.500
0.339 0.500 0.000
0.161 0.661 0.661
0.625 0.750 0.875
0.875 0.250 0.625
0.125 0.375 0.250
0.375 0.125 0.750
0.250 0.875 0.125
0.750 0.625 0.375
```


Entry 3:
CsRe2Ir: optimized geometry, PBE.

## Properties
**Fermi-level density of states**: 6.258 states/eV per cell
**Relative energy among the computed polymorphs**: 0.033 eV per atom
**Final energy**: -26.3 eV per cell

Structure (POSCAR):
```
CsRe2Ir
1.0
4.331 -1.705 0.071
0.844 -4.127 1.981
1.100 -3.669 -2.645
Cs Re Ir
1 2 1
direct
0.000 0.000 0.000
0.250 0.250 0.250
0.750 0.750 0.750
0.500 0.500 0.500
```


Entry 4:
PmPr2Pb: optimized geometry, PBE.

## Properties
**Fermi-level density of states**: 3.612 states/eV per cell
**Relative energy among the computed polymorphs**: 0.384 eV per atom
**Final energy**: -17.8 eV per cell

Structure (POSCAR):
```
PmPr2Pb
1.0
3.646 0.000 0.000
1.823 3.157 0.000
1.823 1.052 12.471
Pb Pr Pm
1 2 1
direct
0.000 0.000 0.000
0.088 0.088 0.737
0.912 0.912 0.263
0.500 0.500 0.500
```


Entry 5:
Ba2AlCd2: optimized geometry, PBE.

## Properties
**Fermi-level density of states**: 11.935 states/eV per cell
**Relative energy among the computed polymorphs**: 0.123 eV per atom
**Final energy**: -20.1 eV per cell

Structure (POSCAR):
```
Ba2AlCd2
1.0
7.823 0.000 0.000
0.000 7.823 0.000
0.000 0.000 5.513
Al Ba Cd
2 4 4
direct
0.000 0.000 0.000
0.500 0.500 0.000
0.183 0.683 0.500
0.683 0.817 0.500
0.817 0.317 0.500
0.317 0.183 0.500
0.368 0.868 0.000
0.868 0.632 0.000
0.632 0.132 0.000
0.132 0.368 0.000
```


Entry 6:
Mo3Cl: optimized geometry, PBE.

## Properties
**Raw formation energy**: 954 meV/atom
**Fermi-level density of states**: 5.205 states/eV per cell
**Relative energy among the computed polymorphs**: 0.701 eV per atom
**Final energy**: -30.5 eV per cell

Structure (POSCAR):
```
Mo3Cl
1.0
-3.948 3.525 0.343
-3.940 -0.658 3.489
5.302 -0.087 -0.129
Cl Mo
1 3
direct
0.000 0.000 0.000
0.250 0.750 0.500
0.500 0.500 0.000
0.750 0.250 0.500
```


Number 1: size of the total moment 0.000 μB/atom. Number 2: size of the total moment 0.085 μB/atom. Number 3: size of the total moment 0.000 μB/atom. Number 4: size of the total moment 0.000 μB/atom. Number 5: size of the total moment 0.000 μB/atom. Number 6: size of the total moment 0.000 μB/atom.